# CrSi2Ir | the Alexandria database | PBE | relaxed
data_CrSi2Ir
_chemical_formula_sum 'Cr2 Si4 Ir2'
_cell_length_a 3.577
_cell_length_b 3.577
_cell_length_c 8.198
_cell_angle_alpha 90.00
_cell_angle_beta 90.00
_cell_angle_gamma 90.00
_space_group_name_H-M_alt 'I -4 m 2'
_space_group_IT_number 119
_space_group_name_Hall 'I -4 -2'
loop_
_atom_site_label
_atom_site_type_symbol
_atom_site_fract_x
_atom_site_fract_y
_atom_site_fract_z
Cr1 Cr 0.000 0.000 0.000
Si1 Si 0.000 0.000 0.500
Si2 Si 0.000 0.500 0.250
Ir1 Ir 0.000 0.500 0.750
# Total magnetization (μB/atom): 0.53
# DOS(E_F) (states/eV per cell): 6.14
# Calculated total energy (eV/atom): -7.530
# Formation energy (no corrections) (eV per atom): -0.20